w) # PrSmDyTh

An optimized crystal structure of PrSmDyTh (PBE, Alexandria).

Computed properties:
Fermi-level density of states   4.93 states/eV/f.u.
SG   P4mm

a = 3.611 Å, b = 3.611 Å, c = 10.261 Å
α = 90.00°, β = 90.00°, γ = 90.00°
Element x y z (fractional)
Pr (0.000, 0.000, 0.075)
Sm (0.500, 0.500, 0.809)
Dy (0.500, 0.500, 0.333)
Th (0.000, 0.000, 0.568)

***

x) # PrSmDyTh

An optimized crystal structure of PrSmDyTh (PBE, Alexandria).

Computed properties:
Fermi-level density of states   8.25 states/eV/f.u.
SG   F-43m

a = 5.741 Å, b = 5.741 Å, c = 5.741 Å
α = 60.00°, β = 60.00°, γ = 60.00°
Element x y z (fractional)
Pr (0.000, 0.000, 0.000)
Sm (0.250, 0.250, 0.250)
Th (0.500, 0.500, 0.500)
Dy (0.750, 0.750, 0.750)

***

Going by the computed energies, the most stable comes first: w), x).

***

w) # PrSmDyY

An optimized crystal structure of PrSmDyY (PBE, Alexandria).

Computed properties:
Fermi-level density of states   5.76 states/eV/f.u.
SG   I-4m2

a = 5.126 Å, b = 5.125 Å, c = 6.250 Å
α = 114.20°, β = 114.21°, γ = 90.00°
Element x y z (fractional)
Pr (0.196, 0.696, 0.391)
Sm (0.946, 0.946, 0.891)
Dy (0.446, 0.446, 0.891)
Y (0.695, 0.195, 0.391)

***

x) # PrSmDyY

An optimized crystal structure of PrSmDyY (PBE, Alexandria).

Computed properties:
Fermi-level density of states   7.95 states/eV/f.u.
SG   F-43m

a = 5.754 Å, b = 5.754 Å, c = 5.754 Å
α = 60.00°, β = 60.00°, γ = 60.00°
Element x y z (fractional)
Pr (0.250, 0.250, 0.250)
Y (0.000, 0.000, 0.000)
Sm (0.750, 0.750, 0.750)
Dy (0.500, 0.500, 0.500)

***

Going by the computed energies, the most stable comes first: w), x).

***

w) # Pr2DySn

An optimized crystal structure of Pr2DySn (PBE, Alexandria).

Computed properties:
Fermi-level density of states   4.04 states/eV/f.u.
SG   P4/mmm

a = 4.998 Å, b = 4.903 Å, c = 4.903 Å
α = 90.00°, β = 90.00°, γ = 90.00°
Element x y z (fractional)
Pr (0.000, 0.000, 0.500)
Pr (0.000, 0.500, 0.000)
Sn (0.500, 0.000, 0.000)
Dy (0.500, 0.500, 0.500)

***

x) # Pr2DySn

An optimized crystal structure of Pr2DySn (PBE, Alexandria).

Computed properties:
Fermi-level density of states   4.16 states/eV/f.u.
SG   R-3m

a = 3.590 Å, b = 3.590 Å, c = 12.466 Å
α = 81.72°, β = 81.72°, γ = 60.00°
Element x y z (fractional)
Pr (0.087, 0.087, 0.738)
Pr (0.913, 0.913, 0.262)
Sn (0.000, 0.000, 0.000)
Dy (0.500, 0.500, 0.500)

***

Going by the computed energies, the most stable comes first: w), x).

***

w) # Pr2DySn

An optimized crystal structure of Pr2DySn (PBE, Alexandria).

Computed properties:
Fermi-level density of states   3.89 states/eV/f.u.
SG   P4/mmm

a = 4.312 Å, b = 4.312 Å, c = 6.764 Å
α = 90.00°, β = 90.00°, γ = 90.00°
Element x y z (fractional)
Pr (0.000, 0.000, 0.731)
Pr (0.000, 0.000, 0.269)
Sn (0.500, 0.500, 0.500)
Dy (0.500, 0.500, 0.000)

***

x) # Pr2DySn

An optimized crystal structure of Pr2DySn (PBE, Alexandria).

Computed properties:
Fermi-level density of states   6.72 states/eV/f.u.
SG   Fm-3m

a = 5.566 Å, b = 5.566 Å, c = 5.566 Å
α = 60.00°, β = 60.00°, γ = 60.00°
Element x y z (fractional)
Pr (0.250, 0.250, 0.250)
Pr (0.750, 0.750, 0.750)
Sn (0.500, 0.500, 0.500)
Dy (0.000, 0.000, 0.000)

***

Going by the computed energies, the most stable comes first: w), x).

***

w) # Pr3DySn2

An optimized crystal structure of Pr3DySn2 (PBE, Alexandria).

Computed properties:
Fermi-level density of states   8.22 states/eV/f.u.
SG   Immm

a = 3.519 Å, b = 5.846 Å, c = 9.979 Å
α = 107.03°, β = 100.15°, γ = 90.00°
Element x y z (fractional)
Pr (0.000, 0.500, 0.000)
Pr (0.822, 0.822, 0.644)
Pr (0.178, 0.178, 0.356)
Dy (0.000, 0.000, 0.000)
Sn (0.654, 0.654, 0.307)
Sn (0.346, 0.346, 0.693)

***

x) # Pr3DySn2

An optimized crystal structure of Pr3DySn2 (PBE, Alexandria).

Computed properties:
Fermi-level density of states   7.86 states/eV/f.u.
SG   P-4m2

a = 4.672 Å, b = 4.672 Å, c = 8.781 Å
α = 90.00°, β = 90.00°, γ = 90.00°
Element x y z (fractional)
Pr (0.500, 0.000, 0.350)
Pr (0.000, 0.500, 0.650)
Pr (0.000, 0.000, 0.000)
Dy (0.500, 0.500, 0.000)
Sn (0.500, 0.000, 0.725)
Sn (0.000, 0.500, 0.275)

***

Going by the computed energies, the most stable comes first: x), w).

***

w) # PrDyTlSn

An optimized crystal structure of PrDyTlSn (PBE, Alexandria).

Computed properties:
Fermi-level density of states   3.70 states/eV/f.u.
SG   Amm2

a = 4.653 Å, b = 4.407 Å, c = 6.291 Å
α = 90.00°, β = 111.70°, γ = 90.00°
Element x y z (fractional)
Pr (0.865, 0.500, 0.729)
Dy (0.135, 0.000, 0.270)
Tl (0.411, 0.000, 0.821)
Sn (0.590, 0.500, 0.179)

***

x) # PrDyTlSn

An optimized crystal structure of PrDyTlSn (PBE, Alexandria).

Computed properties:
Fermi-level density of states   2.72 states/eV/f.u.
SG   F-43m

a = 5.452 Å, b = 5.452 Å, c = 5.452 Å
α = 60.00°, β = 60.00°, γ = 60.00°
Element x y z (fractional)
Pr (0.000, 0.000, 0.000)
Tl (0.750, 0.750, 0.750)
Sn (0.250, 0.250, 0.250)
Dy (0.500, 0.500, 0.500)

***

Going by the computed energies, the most stable comes first: w), x).

***

w) # TbPrDy

An optimized crystal structure of TbPrDy (PBE, Alexandria).

Computed properties:
Fermi-level density of states   5.52 states/eV/f.u.
SG   P6_3mc

a = 3.557 Å, b = 3.557 Å, c = 18.414 Å
α = 90.00°, β = 90.00°, γ = 120.00°
Element x y z (fractional)
Dy (0.333, 0.667, 0.159)
Dy (0.667, 0.333, 0.659)
Tb (0.667, 0.333, 0.841)
Tb (0.333, 0.667, 0.341)
Pr (0.000, 0.000, 0.000)
Pr (0.000, 0.000, 0.500)

***

x) # TbPrDy

An optimized crystal structure of TbPrDy (PBE, Alexandria).

Computed properties:
Fermi-level density of states   5.01 states/eV/f.u.
SG   Cmcm

a = 3.562 Å, b = 5.478 Å, c = 10.374 Å
α = 90.00°, β = 99.87°, γ = 90.00°
Element x y z (fractional)
Tb (0.040, 0.250, 0.581)
Tb (0.960, 0.750, 0.419)
Pr (0.206, 0.250, 0.912)
Pr (0.794, 0.750, 0.088)
Dy (0.386, 0.250, 0.271)
Dy (0.614, 0.750, 0.729)

***

y) # TbPrDy

An optimized crystal structure of TbPrDy (PBE, Alexandria).

Computed properties:
Fermi-level density of states   4.13 states/eV/f.u.
SG   C2/c

a = 6.238 Å, b = 6.238 Å, c = 10.809 Å
α = 90.00°, β = 90.00°, γ = 70.86°
Element x y z (fractional)
Tb (0.250, 0.750, 0.918)
Tb (0.750, 0.750, 0.082)
Tb (0.750, 0.250, 0.582)
Tb (0.250, 0.250, 0.418)
Pr (0.750, 0.250, 0.250)
Pr (0.250, 0.250, 0.750)
Pr (0.250, 0.750, 0.250)
Pr (0.750, 0.750, 0.750)
Dy (0.250, 0.250, 0.082)
Dy (0.750, 0.250, 0.918)
Dy (0.750, 0.750, 0.418)
Dy (0.250, 0.750, 0.582)

***

z) # TbPrDy

An optimized crystal structure of TbPrDy (PBE, Alexandria).

Computed properties:
Fermi-level density of states   4.40 states/eV/f.u.
SG   P-6m2

a = 3.512 Å, b = 5.718 Å, c = 5.718 Å
α = 120.00°, β = 90.00°, γ = 90.00°
Element x y z (fractional)
Pr (0.666, 0.667, 0.333)
Tb (0.167, 0.333, 0.667)
Dy (0.166, 0.000, 0.000)

***

Going by the computed energies, the most stable comes first: y), x), z), w).

***

w) # Tb2Pr7Dy3

An optimized crystal structure of Tb2Pr7Dy3 (PBE, Alexandria).

Computed properties:
Fermi-level density of states   17.78 states/eV/f.u.
SG   Cmmm

a = 4.733 Å, b = 5.573 Å, c = 16.520 Å
α = 99.71°, β = 90.00°, γ = 90.00°
Element x y z (fractional)
Tb (0.000, 0.841, 0.681)
Tb (0.000, 0.159, 0.319)
Pr (0.000, 0.417, 0.833)
Pr (0.000, 0.735, 0.471)
Pr (0.000, 0.000, 0.000)
Pr (0.000, 0.583, 0.167)
Pr (0.500, 0.079, 0.159)
Pr (0.500, 0.921, 0.841)
Pr (0.000, 0.265, 0.529)
Dy (0.500, 0.500, 0.000)
Dy (0.500, 0.658, 0.316)
Dy (0.500, 0.342, 0.684)

***

x) # Tb2Pr7Dy3

An optimized crystal structure of Tb2Pr7Dy3 (PBE, Alexandria).

Computed properties:
Fermi-level density of states   17.61 states/eV/f.u.
SG   P2/m

a = 3.588 Å, b = 6.530 Å, c = 18.262 Å
α = 74.97°, β = 90.00°, γ = 90.00°
Element x y z (fractional)
Tb (0.500, 0.611, 0.330)
Tb (0.500, 0.389, 0.670)
Pr (0.500, 0.236, 0.507)
Pr (0.500, 0.764, 0.493)
Pr (0.000, 0.555, 0.167)
Pr (0.000, 0.000, 0.000)
Pr (0.000, 0.445, 0.833)
Pr (0.500, 0.947, 0.828)
Pr (0.500, 0.053, 0.172)
Dy (0.500, 0.500, 0.000)
Dy (0.000, 0.116, 0.340)
Dy (0.000, 0.884, 0.660)

***

Going by the computed energies, the most stable comes first: x), w).

***

w) # Tb5Pr12Dy2

An optimized crystal structure of Tb5Pr12Dy2 (PBE, Alexandria).

Computed properties:
Fermi-level density of states   27.60 states/eV/f.u.
SG   C2/m

a = 10.720 Å, b = 9.361 Å, c = 8.150 Å
α = 86.87°, β = 90.00°, γ = 124.93°
Element x y z (fractional)
Tb (0.242, 0.484, 0.514)
Tb (0.344, 0.687, 0.095)
Tb (0.000, 0.000, 0.500)
Tb (0.656, 0.313, 0.905)
Tb (0.758, 0.516, 0.486)
Pr (0.869, 0.739, 0.106)
Pr (0.039, 0.631, 0.792)
Pr (0.592, 0.631, 0.792)
Pr (0.166, 0.787, 0.385)
Pr (0.621, 0.787, 0.385)
Pr (0.445, 0.891, 0.713)
Pr (0.555, 0.109, 0.287)
Pr (0.834, 0.213, 0.615)
Pr (0.379, 0.213, 0.615)
Pr (0.961, 0.369, 0.208)
Pr (0.408, 0.369, 0.208)
Pr (0.131, 0.261, 0.894)
Dy (0.730, 0.000, 0.000)
Dy (0.270, 0.000, 0.000)

***

x) # Tb5Pr12Dy2

An optimized crystal structure of Tb5Pr12Dy2 (PBE, Alexandria).

Computed properties:
Fermi-level density of states   30.35 states/eV/f.u.
SG   C2/m

a = 7.605 Å, b = 10.408 Å, c = 10.105 Å
α = 65.21°, β = 90.00°, γ = 111.43°
Element x y z (fractional)
Tb (0.175, 0.350, 0.829)
Tb (0.321, 0.642, 0.195)
Tb (0.000, 0.000, 0.500)
Tb (0.679, 0.358, 0.805)
Tb (0.825, 0.650, 0.171)
Pr (0.996, 0.992, 0.209)
Pr (0.089, 0.679, 0.849)
Pr (0.590, 0.679, 0.849)
Pr (0.073, 0.670, 0.497)
Pr (0.597, 0.670, 0.497)
Pr (0.509, 0.017, 0.669)
Pr (0.491, 0.983, 0.331)
Pr (0.927, 0.330, 0.503)
Pr (0.403, 0.330, 0.503)
Pr (0.911, 0.321, 0.151)
Pr (0.410, 0.321, 0.151)
Pr (0.004, 0.008, 0.791)
Dy (0.700, 0.000, 0.000)
Dy (0.300, 0.000, 0.000)

***

Going by the computed energies, the most stable comes first: w), x).

***

w) # Tb3Pr8Dy4

An optimized crystal structure of Tb3Pr8Dy4 (PBE, Alexandria).

Computed properties:
Fermi-level density of states   22.91 states/eV/f.u.
SG   C2/m

a = 6.934 Å, b = 9.391 Å, c = 9.391 Å
α = 81.67°, β = 112.53°, γ = 112.53°
Element x y z (fractional)
Tb (0.500, 0.500, 0.000)
Tb (0.500, 0.000, 0.500)
Tb (0.500, 0.500, 0.500)
Pr (0.773, 0.295, 0.295)
Pr (0.000, 0.705, 0.295)
Pr (0.212, 0.245, 0.245)
Pr (0.500, 0.754, 0.246)
Pr (0.500, 0.246, 0.754)
Pr (0.788, 0.755, 0.755)
Pr (0.000, 0.295, 0.705)
Pr (0.227, 0.705, 0.705)
Dy (0.500, 0.000, 0.000)
Dy (0.000, 0.500, 0.000)
Dy (0.000, 0.000, 0.000)
Dy (0.000, 0.000, 0.500)

***

x) # Tb3Pr8Dy4

An optimized crystal structure of Tb3Pr8Dy4 (PBE, Alexandria).

Computed properties:
Fermi-level density of states   25.09 states/eV/f.u.
SG   R-3m

a = 7.073 Å, b = 7.073 Å, c = 12.697 Å
α = 73.83°, β = 73.83°, γ = 60.00°
Element x y z (fractional)
Tb (0.500, 0.000, 0.500)
Tb (0.000, 0.000, 0.500)
Tb (0.000, 0.500, 0.500)
Pr (0.246, 0.246, 0.262)
Pr (0.249, 0.751, 0.250)
Pr (0.751, 0.751, 0.250)
Pr (0.751, 0.249, 0.250)
Pr (0.754, 0.754, 0.738)
Pr (0.751, 0.249, 0.750)
Pr (0.249, 0.249, 0.750)
Pr (0.249, 0.751, 0.750)
Dy (0.000, 0.000, 0.000)
Dy (0.335, 0.335, 0.994)
Dy (0.500, 0.500, 0.500)
Dy (0.665, 0.665, 0.006)

***

Going by the computed energies, the most stable comes first: x), w).

***

w) # Tb2Pr3Dy4

An optimized crystal structure of Tb2Pr3Dy4 (PBE, Alexandria).

Computed properties:
Fermi-level density of states   13.42 states/eV/f.u.
SG   C2/m

a = 5.134 Å, b = 6.055 Å, c = 11.695 Å
α = 70.23°, β = 77.32°, γ = 64.92°
Element x y z (fractional)
Tb (0.833, 0.759, 0.575)
Tb (0.167, 0.241, 0.425)
Pr (0.000, 0.000, 0.000)
Pr (0.554, 0.637, 0.255)
Pr (0.446, 0.363, 0.745)
Dy (0.855, 0.011, 0.280)
Dy (0.145, 0.989, 0.720)
Dy (0.722, 0.659, 0.896)
Dy (0.278, 0.341, 0.104)

***

x) # Tb2Pr3Dy4

An optimized crystal structure of Tb2Pr3Dy4 (PBE, Alexandria).

Computed properties:
Fermi-level density of states   14.06 states/eV/f.u.
SG   C2/c

a = 6.184 Å, b = 11.290 Å, c = 11.290 Å
α = 62.98°, β = 62.92°, γ = 62.92°
Element x y z (fractional)
Tb (0.422, 0.270, 0.513)
Tb (0.078, 0.487, 0.730)
Tb (0.578, 0.730, 0.487)
Tb (0.922, 0.513, 0.270)
Pr (0.752, 0.027, 0.305)
Pr (0.748, 0.695, 0.973)
Pr (0.248, 0.973, 0.695)
Pr (0.252, 0.305, 0.027)
Pr (0.250, 0.637, 0.363)
Pr (0.750, 0.363, 0.637)
Dy (0.421, 0.938, 0.178)
Dy (0.079, 0.822, 0.062)
Dy (0.579, 0.062, 0.822)
Dy (0.921, 0.178, 0.938)
Dy (0.082, 0.154, 0.394)
Dy (0.418, 0.606, 0.846)
Dy (0.918, 0.846, 0.606)
Dy (0.582, 0.394, 0.154)

***

Going by the computed energies, the most stable comes first: x), w).